The following is a DFT calculation (GGA-PBE) of an optimized crystal structure of Ac3PmF.

## Properties
formation energy (no corrections)	-4.81	eV/f.u.
volume	34.21	Å³/atom
DOS at the Fermi energy	4.66	states/eV/f.u.
space group	Pm-3m, No. 221
total energy	-23.8	eV/f.u.

a = 5.5513 Å, b = 5.5513 Å, c = 5.5513 Å
α = 90.00°, β = 90.00°, γ = 90.00°
Last column: nearest neighbours and their distance in Å.
Fractional positions:
Ac  0.0000  0.5000  0.0000  2 F 2.78
Ac  0.0000  0.0000  0.5000  2 F 2.78
Ac  0.5000  0.0000  0.0000  2 F 2.78
F  0.0000  0.0000  0.0000  6 Ac 2.78
Pm  0.5000  0.5000  0.5000  12 Ac 3.93